[1]
VASP calculation (meta-GGA SCAN) on Sr2ReTc at its PBEsol-relaxed geometry.

Cell: 4.134 4.134 8.977 Å, 103.20 103.20 59.98°
Fractional coordinates of all 4 atoms:
Sr 0.000 0.000 0.000
Sr 0.175 0.175 0.531
Re 0.427 0.427 0.284
Tc 0.748 0.748 0.247

The value obtained for the magnetic moment is 0.03 μB/f.u. Its energy relative to the elements is 1.058 eV per formula unit.

***

[2]
VASP calculation (meta-GGA SCAN) on Sr3MgNi at its PBEsol-relaxed geometry.

Cell: 5.681 5.681 5.681 Å, 90.00 90.00 90.00°
Fractional coordinates of all 5 atoms:
Sr 0.000 0.000 0.500
Sr 0.000 0.500 0.000
Sr 0.500 0.000 0.000
Mg 0.500 0.500 0.500
Ni 0.000 0.000 0.000

The value obtained for the magnetic moment is 0.00 μB/f.u. Its energy relative to the elements is 0.378 eV per formula unit.

***

[3]
VASP calculation (meta-GGA SCAN) on CdCo2As at its PBEsol-relaxed geometry.

Cell: 8.825 8.825 8.825 Å, 18.32 18.32 18.32°
Fractional coordinates of all 4 atoms:
Cd 0.000 0.000 0.000
Co 0.488 0.488 0.488
Co 0.753 0.753 0.753
As 0.222 0.222 0.222

The value obtained for the magnetic moment is 3.23 μB/f.u. The value obtained for the energy relative to the lowest polymorph listed for this composition is 0.146 eV/atom. Its energy relative to the elements is 1.185 eV per formula unit.

***

[4]
VASP calculation (meta-GGA SCAN) on AlSb2TeW at its PBEsol-relaxed geometry.

Cell: 5.206 5.206 5.309 Å, 90.00 90.00 90.00°
Fractional coordinates of all 5 atoms:
Al 0.000 0.000 0.000
Sb 0.000 0.500 0.500
Sb 0.500 0.000 0.500
Te 0.500 0.500 0.000
W 0.500 0.500 0.500

The value obtained for the magnetic moment is 0.00 μB/f.u. The calculation puts the formation energy (no corrections) at 0.867 eV/atom.